Record 1
Density functional theory data (PBE) for a relaxed GdDyTm crystal.

Computed properties:
ΔH_f (0 K)   207 kJ/mol of formula units
ρ   7.34 g cm⁻³
Raw total energy   -46.4 eV/cell
Energy above the lowest structure with this stoichiometry   0.000 eV/atom
Total magnetic moment   0.00 μB per formula unit

a = 7.618 Å, b = 7.618 Å, c = 7.618 Å
α = 90.00°, β = 90.00°, γ = 90.00°
Space group F-43m (No. 216)
Inequivalent atoms, fractional coordinates:
Gd (0.000, 0.000, 0.000) [4 per cell]
Dy (0.000, 0.000, 0.500) [4 per cell]
Tm (0.250, 0.250, 0.750) [4 per cell]


Record 2
Density functional theory data (PBE) for a relaxed NaGdFeSe3 crystal.

Computed properties:
ρ   5.57 g cm⁻³
Raw total energy   -125.3 eV/cell
Energy above the lowest structure with this stoichiometry   0.046 eV/atom
Total magnetic moment   4.00 μB per formula unit

a = 11.243 Å, b = 4.164 Å, c = 12.038 Å
α = 90.00°, β = 90.00°, γ = 90.00°
Space group Pnma (No. 62)
Inequivalent atoms, fractional coordinates:
Na (0.174, 0.250, 0.002) [4 per cell]
Gd (0.019, 0.250, 0.317) [4 per cell]
Fe (0.247, 0.250, 0.715) [4 per cell]
Se (0.052, 0.750, 0.149) [4 per cell]
Se (0.108, 0.250, 0.562) [4 per cell]
Se (0.215, 0.750, 0.817) [4 per cell]


Record 3
Density functional theory data (PBE) for a relaxed PrBe12 crystal.

Computed properties:
ρ   3.15 g cm⁻³
Raw total energy   -99.2 eV/cell
Total magnetic moment   0.00 μB per formula unit

a = 7.882 Å, b = 7.882 Å, c = 4.227 Å
α = 90.00°, β = 90.00°, γ = 90.00°
Space group I4/mmm (No. 139)
Inequivalent atoms, fractional coordinates:
Pr (0.000, 0.000, 0.000) [2 per cell]
Be (0.000, 0.244, 0.500) [8 per cell]
Be (0.000, 0.361, 0.000) [8 per cell]
Be (0.250, 0.250, 0.250) [8 per cell]


Record 4
Density functional theory data (PBE) for a relaxed ScNbCd crystal.

Computed properties:
ΔH_f (0 K)   254 kJ/mol of formula units
ρ   5.61 g cm⁻³
Raw total energy   -58.7 eV/cell
Energy above the lowest structure with this stoichiometry   0.000 eV/atom
Total magnetic moment   2.42 μB per formula unit

a = 6.668 Å, b = 6.668 Å, c = 6.668 Å
α = 90.00°, β = 90.00°, γ = 90.00°
Space group F-43m (No. 216)
Inequivalent atoms, fractional coordinates:
Sc (0.000, 0.000, 0.000) [4 per cell]
Nb (0.250, 0.250, 0.750) [4 per cell]
Cd (0.000, 0.000, 0.500) [4 per cell]


Record 5
Density functional theory data (PBE) for a relaxed CdGaFeTc crystal.

Computed properties:
ρ   9.15 g cm⁻³
Raw total energy   -85.1 eV/cell
Energy above the lowest structure with this stoichiometry   0.000 eV/atom
Total magnetic moment   3.07 μB per formula unit

a = 6.247 Å, b = 6.247 Å, c = 6.247 Å
α = 90.00°, β = 90.00°, γ = 90.00°
Space group F-43m (No. 216)
Inequivalent atoms, fractional coordinates:
Cd (0.000, 0.000, 0.000) [4 per cell]
Ga (0.000, 0.000, 0.500) [4 per cell]
Fe (0.250, 0.250, 0.750) [4 per cell]
Tc (0.250, 0.250, 0.250) [4 per cell]


Record 6
Density functional theory data (PBE) for a relaxed HfTlAg3Te4 crystal.

Computed properties:
ρ   7.06 g cm⁻³
Raw total energy   -72.8 eV/cell
Energy above the lowest structure with this stoichiometry   0.020 eV/atom
Total magnetic moment   0.01 μB per formula unit

a = 6.563 Å, b = 8.569 Å, c = 10.588 Å
α = 90.00°, β = 106.04°, γ = 90.00°
Space group P2_1/m (No. 11)
Inequivalent atoms, fractional coordinates:
Hf (0.157, 0.250, 0.284) [2 per cell]
Tl (0.258, 0.250, 0.925) [2 per cell]
Ag (0.287, 0.521, 0.501) [4 per cell]
Ag (0.339, 0.750, 0.712) [2 per cell]
Te (0.047, 0.250, 0.523) [2 per cell]
Te (0.179, 0.750, 0.931) [2 per cell]
Te (0.380, 0.515, 0.254) [4 per cell]


Record 7
Density functional theory data (PBE) for a relaxed Pr2Dy3LuTe2Os crystal.

Computed properties:
ρ   9.23 g cm⁻³
Raw total energy   -102.6 eV/cell
Total magnetic moment   0.01 μB per formula unit

a = 4.062 Å, b = 14.345 Å, c = 8.585 Å
α = 90.00°, β = 90.00°, γ = 90.00°
Space group Amm2 (No. 38)
Inequivalent atoms, fractional coordinates:
Pr (0.000, 0.120, 0.000) [4 per cell]
Dy (0.500, 0.000, 0.716) [2 per cell]
Dy (0.500, 0.193, 0.317) [4 per cell]
Lu (0.000, 0.000, 0.367) [2 per cell]
Te (0.000, 0.162, 0.618) [4 per cell]
Os (0.500, 0.000, 0.155) [2 per cell]


Record 8
Density functional theory data (PBE) for a relaxed CsErPa crystal.

Computed properties:
ρ   8.32 g cm⁻³
Raw total energy   -37.0 eV/cell
Energy above the lowest structure with this stoichiometry   0.047 eV/atom
Total magnetic moment   1.36 μB per formula unit

a = 7.514 Å, b = 7.514 Å, c = 7.514 Å
α = 90.00°, β = 90.00°, γ = 90.00°
Space group F-43m (No. 216)
Inequivalent atoms, fractional coordinates:
Cs (0.000, 0.000, 0.000) [4 per cell]
Er (0.250, 0.250, 0.250) [4 per cell]
Pa (0.250, 0.250, 0.750) [4 per cell]


Record 9
Density functional theory data (PBE) for a relaxed LiCuSiW crystal.

Computed properties:
ρ   9.00 g cm⁻³
Raw total energy   -86.6 eV/cell
Energy above the lowest structure with this stoichiometry   0.348 eV/atom
Total magnetic moment   1.81 μB per formula unit

a = 5.929 Å, b = 5.929 Å, c = 5.929 Å
α = 90.00°, β = 90.00°, γ = 90.00°
Space group F-43m (No. 216)
Inequivalent atoms, fractional coordinates:
Li (0.000, 0.000, 0.000) [4 per cell]
Cu (0.000, 0.000, 0.500) [4 per cell]
Si (0.250, 0.250, 0.250) [4 per cell]
W (0.250, 0.250, 0.750) [4 per cell]


Record 10
Density functional theory data (PBE) for a relaxed NbGa2Os2 crystal.

Computed properties:
ρ   11.78 g cm⁻³
Raw total energy   -72.3 eV/cell
Energy above the lowest structure with this stoichiometry   0.132 eV/atom
Total magnetic moment   0.66 μB per formula unit

a = 4.076 Å, b = 4.076 Å, c = 10.396 Å
α = 90.00°, β = 90.00°, γ = 90.00°
Space group I4/mmm (No. 139)
Inequivalent atoms, fractional coordinates:
Nb (0.000, 0.000, 0.000) [2 per cell]
Ga (0.000, 0.500, 0.250) [4 per cell]
Os (0.000, 0.000, 0.388) [4 per cell]


Record 11
Density functional theory data (PBE) for a relaxed GaCuPdPt crystal.

Computed properties:
ρ   12.38 g cm⁻³
Raw total energy   -76.8 eV/cell
Energy above the lowest structure with this stoichiometry   0.000 eV/atom
Total magnetic moment   0.00 μB per formula unit

a = 6.156 Å, b = 6.156 Å, c = 6.156 Å
α = 90.00°, β = 90.00°, γ = 90.00°
Space group F-43m (No. 216)
Inequivalent atoms, fractional coordinates:
Ga (0.000, 0.000, 0.000) [4 per cell]
Cu (0.250, 0.250, 0.750) [4 per cell]
Pd (0.000, 0.000, 0.500) [4 per cell]
Pt (0.250, 0.250, 0.250) [4 per cell]


Record 12
Density functional theory data (PBE) for a relaxed Zr5Pb3 crystal.

Computed properties:
ρ   8.80 g cm⁻³
Raw total energy   -111.4 eV/cell
Energy above the lowest structure with this stoichiometry   0.023 eV/atom
Total magnetic moment   0.00 μB per formula unit

a = 8.8044 Å, b = 8.8044 Å, c = 6.0559 Å
α = 90.00°, β = 90.00°, γ = 120.00°
Space group P6_3/mcm (No. 193)
Inequivalent atoms, fractional coordinates:
Zr (0.0000, 0.2483, 0.2500) [6 per cell]
Zr (0.3333, 0.6667, 0.0000) [4 per cell]
Pb (0.0000, 0.3896, 0.7500) [6 per cell]


Record 13
Density functional theory data (PBE) for a relaxed LuInAsO crystal.

Computed properties:
ρ   8.02 g cm⁻³
Raw total energy   -45.5 eV/cell
Energy above the lowest structure with this stoichiometry   0.000 eV/atom
Total magnetic moment   0.02 μB per formula unit

a = 4.025 Å, b = 4.025 Å, c = 9.725 Å
α = 90.00°, β = 90.00°, γ = 90.00°
Space group P4/nmm (No. 129, origin choice 2)
Inequivalent atoms, fractional coordinates:
Lu (0.250, 0.250, 0.099) [2 per cell]
In (0.250, 0.750, 0.500) [2 per cell]
As (0.250, 0.250, 0.724) [2 per cell]
O (0.250, 0.750, 0.000) [2 per cell]


Record 14
Density functional theory data (PBE) for a relaxed Co25Ni4 crystal.

Computed properties:
ΔH_f (0 K)   184 kJ/mol of formula units
ρ   9.03 g cm⁻³
Raw total energy   -396.0 eV/cell
Total magnetic moment   41.13 μB per formula unit

a = 8.566 Å, b = 8.566 Å, c = 8.566 Å
α = 90.00°, β = 90.00°, γ = 90.00°
Space group I-43m (No. 217)
Inequivalent atoms, fractional coordinates:
Co (0.000, 0.000, 0.000) [2 per cell]
Co (0.042, 0.359, 0.641) [24 per cell]
Co (0.092, 0.092, 0.717) [24 per cell]
Ni (0.176, 0.176, 0.176) [8 per cell]